Below is a relaxed structure of Li3Cr3TeO8, with properties calculated at the GGA+U level.

## Properties
- E_tot: -96.36 eV/cell
- Volume: 163 Å³ per cell

Cell: 6.1125 6.1125 6.1125 Å, 60.29 60.29 60.29°
Positions (direct):
Li1 0.0000 0.5000 0.5000
Li2 0.5000 0.0000 0.5000
Li3 0.5000 0.5000 0.0000
Cr1 0.0000 0.0000 0.5000
Cr2 0.0000 0.5000 0.0000
Cr3 0.5000 0.0000 0.0000
Te1 0.5000 0.5000 0.5000
O1 0.2266 0.7482 0.7482
O2 0.2394 0.2394 0.2394
O3 0.2518 0.2518 0.7734
O4 0.2518 0.7734 0.2518
O5 0.7482 0.2266 0.7482
O6 0.7482 0.7482 0.2266
O7 0.7606 0.7606 0.7606
O8 0.7734 0.2518 0.2518